(1)
Here is a crystal of CuAgAu2 relaxed with PBEsol from the Alexandria database. Energies are from meta-GGA SCAN.

Cell lengths 4.4551, 4.4551, 4.4551 Å; angles 60.00, 60.00, 60.00 degrees
Atoms (fractional coordinates):
Cu1 0.5000 0.5000 0.5000
Au1 0.2500 0.2500 0.2500
Au2 0.7500 0.7500 0.7500
Ag1 0.0000 0.0000 0.0000

## Properties
uncorrected energy = -46.23 eV per atom
SG = Fm-3m
formation energy from the elements = -0.01 eV/atom

***

(2)
Here is a crystal of CuAgAu2 relaxed with PBEsol from the Alexandria database. Energies are from meta-GGA SCAN.

Cell lengths 2.8152, 3.8084, 5.8170 Å; angles 90.00, 90.00, 90.00 degrees
Atoms (fractional coordinates):
Ag1 0.5000 0.5000 0.7380
Au1 0.5000 0.5000 0.2694
Au2 0.0000 0.0000 0.9961
Cu1 0.0000 0.0000 0.4966

## Properties
uncorrected energy = -46.24 eV per atom
SG = Pmm2
formation energy from the elements = -0.02 eV/atom

***

(3)
Here is a crystal of CuAg2Au relaxed with PBEsol from the Alexandria database. Energies are from meta-GGA SCAN.

Cell lengths 2.8154, 2.8154, 7.7677 Å; angles 90.00, 90.00, 90.00 degrees
Atoms (fractional coordinates):
Ag1 0.5000 0.5000 0.2487
Ag2 0.0000 0.0000 0.9808
Cu1 0.5000 0.5000 0.7497
Au1 0.0000 0.0000 0.5209

## Properties
uncorrected energy = -36.79 eV per atom
SG = P4mm
formation energy from the elements = -0.01 eV/atom

***

no.,relative energy among the computed polymorphs (meV/atom)
1,82
2,72
3,0